This record from Alexandria describes an optimized crystal structure of ZnNi2BrO. The functional is PBE with a Hubbard U.

```
data_ZnNi2BrO
_cell_length_a 4.2544
_cell_length_b 4.2068
_cell_length_c 4.2544
_cell_angle_alpha 90.00
_cell_angle_beta 90.00
_cell_angle_gamma 90.00
_symmetry_space_group_name_H-M 'P 1'
_symmetry_Int_Tables_number 1
_symmetry_space_group_name_Hall 'P 1'
loop_
_atom_site_label
_atom_site_type_symbol
_atom_site_fract_x
_atom_site_fract_y
_atom_site_fract_z
_atom_site_occupancy
Br1 Br 0.5000 0.5000 0.5000 1
Zn1 Zn 0.0000 0.5000 0.0000 1
Ni1 Ni 0.0000 0.0000 0.5000 1
Ni2 Ni 0.5000 0.0000 0.0000 1
O1 O 0.0000 0.0000 0.0000 1
```

Properties
DFT total energy (eV per cell): -13.273
V (Å³/cell): 76
ρ (g cm⁻³): 6.1